1.
# K2NpScSe4

K2NpScSe4 after structural relaxation (PBE-GGA, Alexandria via LeMat-Bulk).

abc: 4.1553 7.1669 8.0204
angles: 107.37 90.00 90.00
With the nearest neighbours (Å) after each atom.
Atoms (fractional coordinates):
Np 0.0000 0.0000 0.0000  6 Se 2.90-2.91
Se 0.0000 0.2796 0.8019  2 Sc 2.80, 1 Np 2.91
Se 0.5000 0.2470 0.2036  1 Sc 2.78, 2 Np 2.90
Se 0.5000 0.7530 0.7964  1 Sc 2.78, 2 Np 2.90
Se 0.0000 0.7204 0.1981  2 Sc 2.80, 1 Np 2.91
K 0.0000 0.5000 0.5000  6 Se 3.26-3.27
K 0.5000 0.0000 0.5000  6 Se 3.36
Sc 0.5000 0.5000 0.0000  6 Se 2.78-2.80

Computed properties:
E_form (uncorrected) = -1.4217 eV per atom
Space-group type = No. 10



2.
# UPbS2

UPbS2 after structural relaxation (PBE-GGA, Alexandria via LeMat-Bulk).

abc: 3.8721 3.8721 9.2223
angles: 77.88 77.88 60.00
With the nearest neighbours (Å) after each atom.
Atoms (fractional coordinates):
S 0.8903 0.8903 0.3292  3 U 2.71, 1 Pb 2.95
S 0.1097 0.1097 0.6708  3 U 2.71, 1 Pb 2.95
U 0.5000 0.5000 0.5000  6 S 2.71
Pb 0.0000 0.0000 0.0000  2 S 2.95

Computed properties:
E_form (uncorrected) = -0.9337 eV per atom
Space-group type = No. 166
Excess energy over the best structure of this formula in the dataset = 0.000 eV per atom



3.
# Nd3Dy8Er2

Nd3Dy8Er2 after structural relaxation (PBE-GGA, Alexandria via LeMat-Bulk).

abc: 5.6537 7.7216 10.7199
angles: 111.11 90.05 90.00
With the nearest neighbours (Å) after each atom.
Atoms (fractional coordinates):
Dy 0.0014 0.6726 0.3452  2 Er 3.31, 4 Dy 3.49
Dy 0.9994 0.1357 0.2714  2 Er 3.52-3.54, 4 Nd 3.53-3.92, 7 Dy 3.65-3.93
Dy 0.9986 0.3274 0.6548  2 Er 3.31, 4 Dy 3.49
Dy 0.5004 0.4007 0.2188  1 Nd 3.14, 3 Dy 3.22-3.49, 2 Er 3.39-3.47
Dy 0.0006 0.8643 0.7286  2 Er 3.52-3.54, 4 Nd 3.53-3.92, 7 Dy 3.65-3.93
Dy 0.4996 0.5993 0.7812  1 Nd 3.14, 3 Dy 3.22-3.49, 2 Er 3.39-3.47
Dy 0.5004 0.8181 0.2188  1 Nd 3.14, 3 Dy 3.22-3.49, 2 Er 3.39-3.47
Dy 0.4996 0.1819 0.7812  1 Nd 3.14, 3 Dy 3.22-3.49, 2 Er 3.39-3.47
Er 0.4983 0.2413 0.4826  8 Dy 3.31-3.54
Er 0.5017 0.7587 0.5174  8 Dy 3.31-3.54
Nd 0.5000 0.0000 0.0000  4 Dy 3.14
Nd 0.0000 0.2923 0.0000  1 Nd 3.21, 6 Dy 3.53-3.58
Nd 0.0000 0.7077 0.0000  1 Nd 3.21, 6 Dy 3.53-3.58

Computed properties:
Space-group type = No. 12
Excess energy over the best structure of this formula in the dataset = 0.222 eV per atom
DFT formation energy = 0.243 eV/atom



4.
# K2Ba2F

K2Ba2F after structural relaxation (PBE-GGA, Alexandria via LeMat-Bulk).

abc: 7.9014 7.9014 8.3436
angles: 90.00 90.00 90.00
With the nearest neighbours (Å) after each atom.
Atoms (fractional coordinates):
Ba 0.7998 0.7002 0.0000  2 F 2.85
Ba 0.2998 0.7998 0.0000  2 F 2.85
Ba 0.7002 0.2002 0.0000  2 F 2.85
Ba 0.2002 0.2998 0.0000  2 F 2.85
K 0.8263 0.3263 0.5000  5 K 3.88-4.13
K 0.3263 0.1737 0.5000  5 K 3.88-4.13
K 0.1737 0.6737 0.5000  5 K 3.88-4.13
K 0.6737 0.8263 0.5000  5 K 3.88-4.13
F 0.5000 0.5000 0.0000  4 Ba 2.85
F 0.0000 0.0000 0.0000  4 Ba 2.85

Computed properties:
E_form (uncorrected) = -0.9109 eV per atom
Space-group type = No. 127



5.
# LaWCl3

LaWCl3 after structural relaxation (PBE-GGA, Alexandria via LeMat-Bulk).

abc: 5.5902 5.5902 5.5902
angles: 90.00 90.00 90.00
With the nearest neighbours (Å) after each atom.
Atoms (fractional coordinates):
La 0.0000 0.0000 0.0000  6 Cl 2.80
Cl 0.0000 0.5000 0.0000  2 La 2.80
Cl 0.0000 0.0000 0.5000  2 La 2.80
Cl 0.5000 0.0000 0.0000  2 La 2.80
W 0.5000 0.5000 0.5000  12 Cl 3.95

Computed properties:
E_form (uncorrected) = -0.2552 eV per atom
Space-group type = No. 221
Excess energy over the best structure of this formula in the dataset = 0.000 eV per atom



6.
# AcGdHgSb

AcGdHgSb after structural relaxation (PBE-GGA, Alexandria via LeMat-Bulk).

abc: 5.5672 5.5672 5.5672
angles: 60.00 60.00 60.00
With the nearest neighbours (Å) after each atom.
Atoms (fractional coordinates):
Gd 0.2500 0.2500 0.2500  4 Hg 3.41, 4 Sb 3.41
Hg 0.5000 0.5000 0.5000  4 Gd 3.41, 4 Ac 3.41
Sb 0.0000 0.0000 0.0000  4 Gd 3.41, 4 Ac 3.41
Ac 0.7500 0.7500 0.7500  4 Sb 3.41, 4 Hg 3.41

Computed properties:
E_form (uncorrected) = -0.6378 eV per atom
Space-group type = No. 216



7.
# CaMgAuO2

CaMgAuO2 after structural relaxation (PBE-GGA, Alexandria via LeMat-Bulk).

abc: 4.2400 7.6522 4.2400
angles: 90.00 90.00 90.00
With the nearest neighbours (Å) after each atom.
Atoms (fractional coordinates):
Au 0.5000 0.5000 0.5000  4 Mg 3.00
Mg 0.0000 0.5000 0.0000  4 Au 3.00
O 0.0000 0.0000 0.5000  2 Ca 2.12
O 0.5000 0.0000 0.0000  2 Ca 2.12
Ca 0.0000 0.0000 0.0000  4 O 2.12

Computed properties:
E_form (uncorrected) = -0.3637 eV per atom
Space-group type = No. 123



8.
# Si2Se

Si2Se after structural relaxation (PBE-GGA, Alexandria via LeMat-Bulk).

abc: 5.5561 5.5561 5.0675
angles: 90.00 90.00 126.21
With the nearest neighbours (Å) after each atom.
Atoms (fractional coordinates):
Si 0.0186 0.5567 0.2500  1 Se 2.35, 4 Si 2.54-2.59
Si 0.4433 0.9814 0.7500  1 Se 2.35, 4 Si 2.54-2.59
Si 0.9814 0.4433 0.7500  1 Se 2.35, 4 Si 2.54-2.59
Si 0.5567 0.0186 0.2500  1 Se 2.35, 4 Si 2.54-2.59
Se 0.6838 0.6838 0.2500  2 Si 2.35
Se 0.3162 0.3162 0.7500  2 Si 2.35

Computed properties:
E_form (uncorrected) = 0.2923 eV per atom
Space-group type = No. 63
Excess energy over the best structure of this formula in the dataset = 0.461 eV per atom



9.
# RbTaBi2O6

RbTaBi2O6 after structural relaxation (PBE-GGA, Alexandria via LeMat-Bulk).

abc: 7.3734 8.4179 8.4179
angles: 98.46 73.23 73.23
With the nearest neighbours (Å) after each atom.
Atoms (fractional coordinates):
O 0.9582 0.3500 0.4441  3 Bi 2.17-2.38
O 0.0418 0.6500 0.5559  3 Bi 2.17-2.38
O 0.2747 0.2152 0.0362  1 Ta 1.87
O 0.7747 0.0362 0.2152  1 Ta 1.87
O 0.9870 0.6647 0.1846  1 Ta 1.87
O 0.4870 0.1846 0.6647  1 Ta 1.87
O 0.0130 0.3353 0.8154  1 Ta 1.87
O 0.5418 0.5559 0.6500  3 Bi 2.17-2.38
O 0.5130 0.8154 0.3353  1 Ta 1.87
O 0.2253 0.9638 0.7848  1 Ta 1.87
O 0.7253 0.7848 0.9638  1 Ta 1.87
O 0.4582 0.4441 0.3500  3 Bi 2.17-2.38
Bi 0.1611 0.4547 0.2876  4 O 2.17-2.38
Bi 0.3389 0.7124 0.5453  4 O 2.17-2.38
Bi 0.8389 0.5453 0.7124  4 O 2.17-2.38
Bi 0.6611 0.2876 0.4547  4 O 2.17-2.38
Rb 0.2500 0.8901 0.1099  6 O 2.94-3.16
Rb 0.7500 0.1099 0.8901  6 O 2.94-3.16
Ta 0.2500 0.1795 0.8205  4 O 1.87
Ta 0.7500 0.8205 0.1795  4 O 1.87

Computed properties:
E_form (uncorrected) = -1.8295 eV per atom
Space-group type = No. 15



10.
# ScMnW2

ScMnW2 after structural relaxation (PBE-GGA, Alexandria via LeMat-Bulk).

abc: 4.6036 3.8041 3.8041
angles: 90.00 90.00 90.00
With the nearest neighbours (Å) after each atom.
Atoms (fractional coordinates):
Sc 0.5000 0.0000 0.5000  4 Mn 2.69, 8 W 2.99
Mn 0.5000 0.5000 0.0000  4 Sc 2.69, 8 W 2.99
W 0.0000 0.0000 0.0000  4 W 2.69, 4 Mn 2.99, 4 Sc 2.99
W 0.0000 0.5000 0.5000  4 W 2.69, 4 Mn 2.99, 4 Sc 2.99

Computed properties:
Space-group type = No. 123
Excess energy over the best structure of this formula in the dataset = 0.238 eV per atom
DFT formation energy = 0.328 eV/atom



11.
# InAg3Cl2F6

InAg3Cl2F6 after structural relaxation (PBE-GGA, Alexandria via LeMat-Bulk).

abc: 5.0302 6.7607 7.1176
angles: 118.35 87.22 90.00
With the nearest neighbours (Å) after each atom.
Atoms (fractional coordinates):
F 0.7252 0.2990 0.1392  1 In 2.13
F 0.7252 0.8402 0.1392  1 In 2.13
F 0.7115 0.8497 0.6995  1 In 2.11
F 0.2885 0.1503 0.3005  1 In 2.11
F 0.2748 0.7010 0.8608  1 In 2.13
F 0.2748 0.1598 0.8608  1 In 2.13
Ag 0.5000 0.5000 0.5000  4 F 2.39-2.48, 2 Cl 2.47
Ag 0.5000 0.0000 0.5000  4 F 2.39-2.48, 2 Cl 2.47
Ag 0.0000 0.5000 0.0000  4 F 2.43, 2 Cl 2.46
Cl 0.2072 0.6738 0.3475  3 Ag 2.46-2.47
Cl 0.7928 0.3262 0.6525  3 Ag 2.46-2.47
In 0.5000 0.0000 0.0000  6 F 2.11-2.13

Computed properties:
E_form (uncorrected) = -1.3566 eV per atom
Space-group type = No. 12



12.
# CuBOs3

CuBOs3 after structural relaxation (PBE-GGA, Alexandria via LeMat-Bulk).

abc: 4.0611 4.0611 4.0611
angles: 90.00 90.00 90.00
With the nearest neighbours (Å) after each atom.
Atoms (fractional coordinates):
B 0.0000 0.0000 0.0000  6 Os 2.03
Os 0.0000 0.5000 0.0000  2 B 2.03
Os 0.0000 0.0000 0.5000  2 B 2.03
Os 0.5000 0.0000 0.0000  2 B 2.03
Cu 0.5000 0.5000 0.5000  12 Os 2.87

Computed properties:
Space-group type = No. 221
Excess energy over the best structure of this formula in the dataset = 0.000 eV per atom
DFT formation energy = 0.600 eV/atom



Please write out number 6 again, unchanged.
# AcGdHgSb

AcGdHgSb after structural relaxation (PBE-GGA, Alexandria via LeMat-Bulk).

abc: 5.5672 5.5672 5.5672
angles: 60.00 60.00 60.00
With the nearest neighbours (Å) after each atom.
Atoms (fractional coordinates):
Gd 0.2500 0.2500 0.2500  4 Hg 3.41, 4 Sb 3.41
Hg 0.5000 0.5000 0.5000  4 Gd 3.41, 4 Ac 3.41
Sb 0.0000 0.0000 0.0000  4 Gd 3.41, 4 Ac 3.41
Ac 0.7500 0.7500 0.7500  4 Sb 3.41, 4 Hg 3.41

Computed properties:
E_form (uncorrected) = -0.6378 eV per atom
Space-group type = No. 216